Entry 1:
VASP calculation (PBE) on a relaxed structure of LiInOs.

Structure (POSCAR):
```
LiInOs
1.0
0.000 2.914 2.914
2.914 0.000 2.914
2.914 2.914 0.000
Li In Os
1 1 1
direct
0.000 0.000 0.000
0.750 0.750 0.750
0.250 0.250 0.250
```

Results
DFT formation energy ... 0.82 eV per atom

=====

Entry 2:
VASP calculation (PBE) on a relaxed structure of TaCdSi2O.

Structure (POSCAR):
```
TaCdSi2O
1.0
4.613 0.000 0.000
0.000 4.613 0.000
0.000 0.000 3.939
Ta Cd Si O
1 1 2 1
direct
0.000 0.000 0.000
0.500 0.500 0.000
0.000 0.500 0.500
0.500 0.000 0.500
0.000 0.000 0.500
```

Results
Formation energy (no corrections) ... 0.090 eV/atom

=====

Entry 3:
VASP calculation (PBE) on a relaxed structure of La8CdSn2.

Structure (POSCAR):
```
La8CdSn2
1.0
-2.740 3.779 8.666
2.740 -3.779 8.666
2.740 3.779 -8.666
La Cd Sn
8 1 2
direct
0.126 0.357 0.769
0.192 0.192 0.000
0.295 0.000 0.295
0.412 0.643 0.769
0.588 0.357 0.231
0.705 0.000 0.705
0.808 0.808 0.000
0.874 0.643 0.231
0.000 0.500 0.500
0.311 0.811 0.500
0.689 0.189 0.500
```

Results
DFT formation energy ... -0.33 eV per atom